VASP calculation (PBE) on Na2CaInSb2 after structural relaxation.

abc: 4.775 9.503 7.860
angles: 90.00 90.00 90.00
Space group Pmc2_1 (No. 26)
Inequivalent atoms, fractional coordinates:
Na (0.000, 0.073, 0.000) x2
Na (0.500, 0.172, 0.310) x2
Ca (0.500, 0.439, 0.928) x2
In (0.000, 0.308, 0.601) x2
Sb (0.000, 0.380, 0.214) x2
Sb (0.500, 0.150, 0.716) x2

Results
VASP energy = -3.11 eV/atom